V3GeOs, optimized geometry, DFT PBE; energy of formation from the pure elements = 1.027 eV/atom; V = 96 Å³/f.u.; space group = Pm-3m (221)
1.0
4.586 0.000 0.000
0.000 4.586 0.000
0.000 0.000 4.586
V Ge Os
3 1 1
direct
0.000 0.000 0.500 V
0.000 0.500 0.000 V
0.500 0.000 0.000 V
0.500 0.500 0.500 Ge
0.000 0.000 0.000 Os

---

V12Ge3Os, optimized geometry, DFT PBE; energy of formation from the pure elements = -0.340 eV/atom; V = 216 Å³/f.u.; space group = Pmmm (47)
1.0
4.761 0.000 0.000
0.000 4.771 0.000
0.000 0.000 9.523
V Ge Os
12 3 1
direct
0.000 0.000 0.120 V
0.000 0.000 0.372 V
0.000 0.000 0.628 V
0.000 0.000 0.880 V
0.248 0.500 0.248 V
0.248 0.500 0.752 V
0.500 0.247 0.500 V
0.500 0.252 0.000 V
0.500 0.748 0.000 V
0.500 0.753 0.500 V
0.752 0.500 0.248 V
0.752 0.500 0.752 V
0.000 0.500 0.500 Ge
0.500 0.000 0.252 Ge
0.500 0.000 0.748 Ge
0.000 0.500 0.000 Os

---

VGe2Os, optimized geometry, DFT PBE; energy of formation from the pure elements = 0.295 eV/atom; V = 62 Å³/f.u.; space group = R-3m (166)
1.0
1.396 0.806 9.177
-1.396 0.806 9.177
0.000 -1.612 9.177
V Ge Os
1 2 1
direct
0.000 0.000 0.000 V
0.409 0.409 0.409 Ge
0.591 0.591 0.591 Ge
0.500 0.500 0.500 Os